A geometry-optimized La6SnP2Se3 structure, computed with PBE-GGA.

Lattice parameters (Å, degrees): 4.358 8.756 9.771 103.00 102.89 90.00
Fractional coordinates of all 12 atoms:
1 La 0.005 0.260 0.010
2 La 0.329 0.426 0.658
3 La 0.670 0.098 0.340
4 La 0.671 0.574 0.342
5 La 0.330 0.902 0.660
6 La 0.995 0.740 0.990
7 P 0.831 0.663 0.662
8 P 0.169 0.337 0.338
9 Se 0.835 0.169 0.670
10 Se 0.500 0.500 0.000
11 Se 0.165 0.831 0.330
12 Sn 0.500 0.000 0.000

Output
The value obtained for the uncorrected energy is -6.247 eV per atom. The value obtained for the energy relative to the elements, uncorrected is -1677 meV/atom.